20
Lattice="6.616 0.000 -0.019 0.000 7.483 0.000 -0.408 0.000 9.114" Properties=species:S:1:pos:R:3 comment="DyBSe3 PBE optimized geometry" total_energy_ev_per_cell=-105.53 m_tot_mub_per_cell=0.00 sg="P2_1/c (14)" raw_formation_energy_ev_per_atom=-0.93 pbc="T T T"
Se 2.039 1.458 8.497
Se 5.457 2.336 0.466
Se 2.318 3.665 2.367
Se 1.944 1.405 5.032
Se 4.169 6.025 0.598
Se 5.422 0.076 6.915
Se 3.891 3.818 6.727
Se 5.551 2.284 3.930
Se 0.786 7.406 2.180
Se 0.657 5.199 5.165
Se 0.752 5.147 8.629
Se 4.264 6.077 4.062
B 2.577 4.865 0.847
B 3.632 2.618 8.248
B 0.528 1.123 3.700
B 5.681 6.359 5.394
Dy -0.029 2.779 6.810
Dy 6.238 4.704 2.284
Dy 3.483 0.962 2.243
Dy 2.725 6.520 6.851